1.
First-principles (PBE) data for crystalline BeTl2WI at its relaxed geometry, as listed in Alexandria.

The structure belongs to space group P4/mmm (No. 123); the cell edges are 5.2983, 5.2983 and 4.7210 Å and the angles 90.00°, 90.00° and 90.00°. The inequivalent atoms are Be at (0.0000, 0.0000, 0.0000), Tl at (0.0000, 0.5000, 0.0000), W at (0.0000, 0.0000, 0.5000) and I at (0.5000, 0.5000, 0.5000).

For the energy relative to the elements, uncorrected, the calculation gives 1.067 eV/atom.

2.
First-principles (PBE) data for crystalline Cs2ErZn3F12 at its relaxed geometry, as listed in Alexandria.

The structure belongs to space group R-3m (No. 166, hexagonal axes); the cell edges are 7.4851, 7.4851 and 19.3103 Å and the angles 90.00°, 90.00° and 120.00°. The inequivalent atoms are Cs at (0.0000, 0.0000, 0.1152), Er at (0.0000, 0.0000, 0.5000), Zn at (0.0000, 0.5000, 0.0000), F at (0.0512, 0.5256, 0.1066) and F at (0.0743, 0.5371, 0.3457).

For the energy relative to the elements, uncorrected, the calculation gives -2.755 eV/atom.

3.
First-principles (PBE) data for crystalline HfZn9Fe3 at its relaxed geometry, as listed in Alexandria.

The structure belongs to space group C2/m (No. 12); the cell edges are 5.0516, 12.0110 and 6.5944 Å and the angles 90.00°, 111.14° and 90.00°. The inequivalent atoms are Hf at (0.0000, 0.0000, 0.0000), Zn at (0.0000, 0.5000, 0.5000), Zn at (0.1096, 0.3915, 0.2143), Zn at (0.1499, 0.1719, 0.3340), Fe at (0.0000, 0.0000, 0.5000) and Fe at (0.2500, 0.2500, 0.0000).

As for the raw total energy: -3.6218 eV per atom.

4.
First-principles (PBE) data for crystalline NiIrW2 at its relaxed geometry, as listed in Alexandria.

The structure belongs to space group P4/mmm (No. 123); the cell edges are 3.8212, 3.8212 and 3.9455 Å and the angles 90.00°, 90.00° and 90.00°. The inequivalent atoms are Ni at (0.0000, 0.0000, 0.0000), Ir at (0.5000, 0.5000, 0.0000) and W at (0.0000, 0.5000, 0.5000).

As for the raw total energy: -10.2417 eV per atom.

5.
First-principles (PBE) data for crystalline Pr3DyOs at its relaxed geometry, as listed in Alexandria.

The structure belongs to space group Pm-3m (No. 221); the cell edges are 5.6388, 5.6388 and 5.6388 Å and the angles 90.00°, 90.00° and 90.00°. The inequivalent atoms are Pr at (0.0000, 0.0000, 0.5000), Dy at (0.5000, 0.5000, 0.5000) and Os at (0.0000, 0.0000, 0.0000).

As for the raw total energy: -5.8496 eV per atom.

6.
First-principles (PBE) data for crystalline TaPt2C at its relaxed geometry, as listed in Alexandria.

The structure belongs to space group I-42d (No. 122); the cell edges are 5.2791, 5.2791 and 10.1837 Å and the angles 90.00°, 90.00° and 90.00°. The inequivalent atoms are Ta at (0.0000, 0.0000, 0.0000), Pt at (0.1673, 0.2500, 0.6250) and C at (0.0000, 0.0000, 0.5000).

As for the raw total energy: -7.8411 eV per atom.

7.
First-principles (PBE) data for crystalline Ag4SeF2 at its relaxed geometry, as listed in Alexandria.

The structure belongs to space group I4/mmm (No. 139); the cell edges are 5.0605, 5.0605 and 12.0820 Å and the angles 90.00°, 90.00° and 90.00°. The inequivalent atoms are Ag at (0.0000, 0.0000, 0.2059), Ag at (0.0000, 0.5000, 0.0000), Se at (0.0000, 0.0000, 0.0000) and F at (0.0000, 0.0000, 0.3785).

The energy above the most stable polymorph in this dataset comes out at 0.098 eV/atom. For the energy relative to the elements, uncorrected, the calculation gives -0.518 eV/atom.

8.
First-principles (PBE) data for crystalline TaNiPt3 at its relaxed geometry, as listed in Alexandria.

The structure belongs to space group P-1 (No. 2); the cell edges are 4.7624, 4.7977 and 7.4050 Å and the angles 71.10°, 83.92° and 70.68°. The inequivalent atoms are Ta at (0.2499, 0.1508, 0.1989), Ni at (0.2496, 0.3501, 0.8005), Pt at (0.2496, 0.5534, 0.3933), Pt at (0.2501, 0.7479, 0.0045) and Pt at (0.2502, 0.9450, 0.6102).

The energy above the most stable polymorph in this dataset comes out at 0.000 eV/atom.

9.
First-principles (PBE) data for crystalline CrFeAs2 at its relaxed geometry, as listed in Alexandria.

The structure belongs to space group Pmn2_1 (No. 31); the cell edges are 3.4704, 5.4648 and 6.0700 Å and the angles 90.00°, 90.00° and 90.00°. The inequivalent atoms are Cr at (0.0000, 0.2435, 0.0000), Fe at (0.0000, 0.7484, 0.8924), As at (0.0000, 0.0594, 0.6173) and As at (0.0000, 0.5461, 0.2812).

The energy above the most stable polymorph in this dataset comes out at 0.000 eV/atom.

10.
First-principles (PBE) data for crystalline TiFeBi2C at its relaxed geometry, as listed in Alexandria.

The structure belongs to space group P4/mmm (No. 123); the cell edges are 4.9428, 4.9428 and 3.9968 Å and the angles 90.00°, 90.00° and 90.00°. The inequivalent atoms are Ti at (0.0000, 0.0000, 0.0000), Fe at (0.5000, 0.5000, 0.0000), Bi at (0.0000, 0.5000, 0.5000) and C at (0.0000, 0.0000, 0.5000).

As for the raw total energy: -5.7225 eV per atom.

11.
First-principles (PBE) data for crystalline Hf5H4 at its relaxed geometry, as listed in Alexandria.

The structure belongs to space group Cmmm (No. 65); the cell edges are 8.7316, 9.9819 and 3.0386 Å and the angles 90.00°, 90.00° and 90.00°. The inequivalent atoms are Hf at (0.0000, 0.0000, 0.0000), Hf at (0.0000, 0.2689, 0.5000), Hf at (0.1671, 0.5000, 0.0000) and H at (0.1373, 0.0971, 0.5000).

As for the raw total energy: -6.8675 eV per atom.

12.
First-principles (PBE) data for crystalline LaCu2Pt at its relaxed geometry, as listed in Alexandria.

The structure belongs to space group Immm (No. 71); the cell edges are 4.2110, 4.2303 and 8.2238 Å and the angles 90.00°, 90.00° and 90.00°. The inequivalent atoms are La at (0.0000, 0.0000, 0.0000), Cu at (0.0000, 0.5000, 0.2493) and Pt at (0.0000, 0.0000, 0.5000).

The energy above the most stable polymorph in this dataset comes out at 0.150 eV/atom.

Values for total moment, μB/f.u., ordered as above
3.711 0.000 5.557 0.000 0.001 0.000 0.000 0.000 3.049 0.287 0.000 0.000